Entry 1:
The following is a PBE calculation of a relaxed structure of CrCu2W, from Alexandria.

Lattice parameters (Å, degrees): 9.009 9.009 9.009 16.81 16.81 16.81
Atoms (fractional coordinates):
Cr 0.000 0.000 0.000
Cu 0.253 0.253 0.253
Cu 0.747 0.747 0.747
W 0.500 0.500 0.500

* DFT formation energy: 1.8 eV/f.u.
* electronic total energy: -29.0 eV/cell
* energy above the lowest structure with this stoichiometry: 201.3 meV per atom
* space group: No. 166
* crystal system: trigonal
* calculated density: 11294 kg/m3

Entry 2:
The following is a PBE calculation of a relaxed structure of Zn2NiPb, from Alexandria.

Lattice parameters (Å, degrees): 6.709 6.709 6.709 154.63 144.80 43.89
Atoms (fractional coordinates):
Zn 0.000 0.000 0.000
Zn 0.650 0.150 0.500
Ni 0.160 0.660 0.500
Pb 0.352 0.352 0.000

* DFT formation energy: 0.2 eV/f.u.
* electronic total energy: -11.8 eV/cell
* space group: No. 44
* crystal system: orthorhombic
* calculated density: 8853 kg/m3

Entry 3:
The following is a PBE calculation of a relaxed structure of SmTm2Pd9, from Alexandria.

Lattice parameters (Å, degrees): 4.126 4.126 12.333 90.00 90.00 90.00
Atoms (fractional coordinates):
Sm 0.000 0.000 0.000
Tm 0.000 0.000 0.337
Tm 0.000 0.000 0.663
Pd 0.000 0.500 0.172
Pd 0.000 0.500 0.500
Pd 0.000 0.500 0.828
Pd 0.500 0.000 0.172
Pd 0.500 0.000 0.500
Pd 0.500 0.000 0.828
Pd 0.500 0.500 0.000
Pd 0.500 0.500 0.335
Pd 0.500 0.500 0.665

* DFT formation energy: -10.5 eV/f.u.
* electronic total energy: -70.9 eV/cell
* space group: No. 123
* crystal system: tetragonal
* calculated density: 11438 kg/m3

Entry 4:
The following is a PBE calculation of a relaxed structure of KTlAu2, from Alexandria.

Lattice parameters (Å, degrees): 10.576 10.576 10.576 150.36 150.36 42.41
Atoms (fractional coordinates):
K 0.375 0.625 0.750
K 0.625 0.375 0.250
Tl 0.125 0.875 0.250
Tl 0.875 0.125 0.750
Au 0.000 0.000 0.000
Au 0.000 0.000 0.500
Au 0.000 0.500 0.000
Au 0.500 0.000 0.500

* DFT formation energy: -0.4 eV/f.u.
* electronic total energy: -20.8 eV/cell
* energy above the lowest structure with this stoichiometry: 100.4 meV per atom
* space group: No. 141
* crystal system: tetragonal
* calculated density: 7336 kg/m3